# Ac2GdS

A geometry-optimized Ac2GdS structure (PBE, Alexandria via LeMat-Bulk). Values from VASP.

Properties
E_tot ... -7.4174 eV per atom

The structure in Quantum ESPRESSO input format:
```
&SYSTEM
  ibrav = 0, nat = 4, ntyp = 3
/
ATOMIC_SPECIES
Ac 227.00 Ac.upf
Gd 157.25 Gd.upf
S 32.06 S.upf
CELL_PARAMETERS angstrom
-2.638 -3.060 -0.415
1.352 -3.815 -0.340
-0.813 -3.324 9.810
ATOMIC_POSITIONS angstrom
Ac -0.503 -2.493 1.710
Ac -1.595 -7.706 7.346
Gd -1.049 -5.100 4.528
S 0.000 0.000 0.000
```